# Ta2TeRh | Alexandria via LeMat-Bulk | PBE | relaxed
# Uncorrected formation energy, meV/atom: 199.7
# Electronic total energy, eV/atom: -8.35
# N(E_F), states/eV per cell: 19.72
data_Ta2TeRh
_chemical_formula_sum 'Ta6 Te3 Rh3'
_cell_length_a 3.0673
_cell_length_b 3.0673
_cell_length_c 27.1111
_cell_angle_alpha 90.00
_cell_angle_beta 90.00
_cell_angle_gamma 120.00
_space_group_name_H-M_alt 'R -3 m'
_space_group_IT_number 166
_space_group_name_Hall '-R 3 2"'
loop_
_atom_site_label
_atom_site_type_symbol
_atom_site_fract_x
_atom_site_fract_y
_atom_site_fract_z
Ta1 Ta 0.0000 0.0000 0.2457
Te1 Te 0.0000 0.0000 0.0000
Rh1 Rh 0.0000 0.0000 0.5000

***

# Mg3Cd5Hg12 | Alexandria via LeMat-Bulk | PBE | relaxed
# Electronic total energy, eV/atom: -0.57
# N(E_F), states/eV per cell: 68.36
data_Mg3Cd5Hg12
_chemical_formula_sum 'Mg24 Cd40 Hg96'
_cell_length_a 17.004
_cell_length_b 17.004
_cell_length_c 17.004
_cell_angle_alpha 90.00
_cell_angle_beta 90.00
_cell_angle_gamma 90.00
_space_group_name_H-M_alt 'I a -3 d'
_space_group_IT_number 230
_space_group_name_Hall '-I 4bd 2c 3'
loop_
_atom_site_label
_atom_site_type_symbol
_atom_site_fract_x
_atom_site_fract_y
_atom_site_fract_z
Mg1 Mg 0.000 0.250 0.125
Cd1 Cd 0.000 0.000 0.000
Cd2 Cd 0.000 0.250 0.375
Hg1 Hg 0.012 0.081 0.653

***

# Na2AcCl | Alexandria via LeMat-Bulk | PBE | relaxed
# Uncorrected formation energy, meV/atom: -645.1
# Electronic total energy, eV/atom: -2.79
# N(E_F), states/eV per cell: 13.95
data_Na2AcCl
_chemical_formula_sum 'Na6 Ac3 Cl3'
_cell_length_a 3.8246
_cell_length_b 3.8246
_cell_length_c 33.2657
_cell_angle_alpha 90.00
_cell_angle_beta 90.00
_cell_angle_gamma 120.00
_space_group_name_H-M_alt 'R -3 m'
_space_group_IT_number 166
_space_group_name_Hall '-R 3 2"'
loop_
_atom_site_label
_atom_site_type_symbol
_atom_site_fract_x
_atom_site_fract_y
_atom_site_fract_z
Na1 Na 0.0000 0.0000 0.1143
Ac1 Ac 0.0000 0.0000 0.0000
Cl1 Cl 0.0000 0.0000 0.5000

***

# NaTl4Pb4 | Alexandria via LeMat-Bulk | PBE | relaxed
# Energy above the most stable polymorph in this dataset, meV/atom: 0
# Electronic total energy, eV/atom: -2.88
# N(E_F), states/eV per cell: 9.04
data_NaTl4Pb4
_chemical_formula_sum 'Na2 Tl8 Pb8'
_cell_length_a 10.780
_cell_length_b 10.780
_cell_length_c 4.732
_cell_angle_alpha 90.00
_cell_angle_beta 90.00
_cell_angle_gamma 90.00
_space_group_name_H-M_alt 'I 4/m m m'
_space_group_IT_number 139
_space_group_name_Hall '-I 4 2'
loop_
_atom_site_label
_atom_site_type_symbol
_atom_site_fract_x
_atom_site_fract_y
_atom_site_fract_z
Na1 Na 0.000 0.000 0.000
Tl1 Tl 0.167 0.167 0.500
Pb1 Pb 0.000 0.336 0.000

***

# Li2SmAg9 | Alexandria via LeMat-Bulk | PBE | relaxed
# Electronic total energy, eV/atom: -2.94
# N(E_F), states/eV per cell: 13.54
data_Li2SmAg9
_chemical_formula_sum 'Li6 Sm3 Ag27'
_cell_length_a 5.5290
_cell_length_b 5.5290
_cell_length_c 27.8535
_cell_angle_alpha 90.00
_cell_angle_beta 90.00
_cell_angle_gamma 120.00
_space_group_name_H-M_alt 'R -3 m'
_space_group_IT_number 166
_space_group_name_Hall '-R 3 2"'
loop_
_atom_site_label
_atom_site_type_symbol
_atom_site_fract_x
_atom_site_fract_y
_atom_site_fract_z
Li1 Li 0.0000 0.0000 0.1475
Sm1 Sm 0.0000 0.0000 0.0000
Ag1 Ag 0.0000 0.0000 0.3330
Ag2 Ag 0.0000 0.0000 0.5000
Ag3 Ag 0.0025 0.5013 0.9146

***

# TeIrSe | Alexandria via LeMat-Bulk | PBE | relaxed
# Uncorrected formation energy, meV/atom: -229.4
# Energy above the most stable polymorph in this dataset, meV/atom: 8
# Electronic total energy, eV/atom: -5.39
# N(E_F), states/eV per cell: 8.25
data_TeIrSe
_chemical_formula_sum 'Te4 Ir4 Se4'
_cell_length_a 6.695
_cell_length_b 6.256
_cell_length_c 6.646
_cell_angle_alpha 90.00
_cell_angle_beta 106.39
_cell_angle_gamma 90.00
_space_group_name_H-M_alt 'P 1 21/c 1'
_space_group_IT_number 14
loop_
_space_group_symop_operation_xyz
'x,y,z'
'-x,-y,-z'
'-x,y+1/2,-z+1/2'
'x,-y+1/2,z+1/2'
loop_
_atom_site_label
_atom_site_type_symbol
_atom_site_fract_x
_atom_site_fract_y
_atom_site_fract_z
Te1 Te 0.140 0.129 0.355
Ir1 Ir 0.258 0.508 0.252
Se1 Se 0.369 0.632 0.631